DFT (PBE-GGA) results for a geometry-optimized Co4CuP structure.

The structure in POSCAR format:
```
Co4CuP
1.0
0.000 3.321 3.321
3.321 0.000 3.321
3.321 3.321 0.000
Co Cu P
4 1 1
Cartesian
2.491 4.150 4.150
4.150 4.150 2.491
4.150 2.491 4.150
2.491 2.491 2.491
4.981 4.981 4.981
0.000 0.000 0.000
```

Properties
Energy of formation from the pure elements ... 0.38 eV/atom